! Na2CuAg2S2O2 PBE optimized geometry; values from VASP
&SYSTEM
  ibrav = 0, nat = 9, ntyp = 5
/
ATOMIC_SPECIES
Na 22.99 Na.upf
Cu 63.55 Cu.upf
Ag 107.87 Ag.upf
S 32.06 S.upf
O 16.00 O.upf
CELL_PARAMETERS angstrom
-1.965 1.965 9.630
1.965 -1.965 9.630
1.965 1.965 -9.630
ATOMIC_POSITIONS angstrom
Na 0.000 0.000 1.472
Na 0.000 0.000 17.788
Cu 0.000 0.000 9.630
Ag 1.965 0.000 4.815
Ag 0.000 1.965 4.815
S 0.000 0.000 6.518
S 0.000 0.000 12.742
O 1.965 0.000 0.000
O 0.000 1.965 0.000
! - Formation energy from raw total energies: -478 meV/atom

=====

! CrN2 PBE optimized geometry; values from VASP
&SYSTEM
  ibrav = 0, nat = 3, ntyp = 2
/
ATOMIC_SPECIES
Cr 52.00 Cr.upf
N 14.01 N.upf
CELL_PARAMETERS angstrom
2.725 0.000 0.000
-1.362 2.360 0.000
0.000 0.000 3.710
ATOMIC_POSITIONS angstrom
Cr 0.000 0.000 0.000
N 1.362 0.787 1.180
N 1.362 0.787 2.530
! - Formation energy from raw total energies: -325 meV/atom

=====

! Cs2KCd3Hg12 PBE optimized geometry; values from VASP
&SYSTEM
  ibrav = 0, nat = 18, ntyp = 4
/
ATOMIC_SPECIES
Cs 132.91 Cs.upf
K 39.10 K.upf
Cd 112.41 Cd.upf
Hg 200.59 Hg.upf
CELL_PARAMETERS angstrom
5.223 3.015 8.279
-5.223 3.015 8.279
0.000 -6.031 8.279
ATOMIC_POSITIONS angstrom
Cs 0.000 0.000 2.212
Cs 0.000 0.000 22.625
K 0.000 0.000 12.419
Cd -2.611 -1.508 8.279
Cd -2.611 1.508 16.558
Cd 0.000 3.015 8.279
Hg -1.616 -0.933 5.492
Hg 0.000 -2.770 8.443
Hg -2.399 1.385 8.443
Hg 1.616 -0.933 5.492
Hg 0.000 1.866 5.492
Hg -2.399 -1.385 16.395
Hg 2.399 1.385 8.443
Hg 0.000 -1.866 19.346
Hg -1.616 0.933 19.346
Hg 2.399 -1.385 16.395
Hg 0.000 2.770 16.395
Hg 1.616 0.933 19.346
! - Formation energy: -0.0373 eV per atom

=====

| no. | M_tot (μB/f.u.) |
| --- | --- |
| 1 | 0.676 |
| 2 | 0.000 |
| 3 | 0.000 |